A geometry-optimized Tl4Cd3Hg5 structure. Source: Alexandria, functional GGA-PBE.

abc: 6.325 8.178 8.954
angles: 93.58 80.36 133.06
Sites, in units of the cell vectors:
Tl1 0.396 0.779 0.860
Tl2 0.823 0.751 0.143
Tl3 0.177 0.249 0.857
Tl4 0.604 0.221 0.140
Hg1 0.732 0.488 0.470
Hg2 0.886 0.742 0.779
Hg3 0.500 0.000 0.500
Hg4 0.114 0.258 0.221
Hg5 0.268 0.512 0.530
Cd1 0.000 0.000 0.500
Cd2 0.728 0.294 0.774
Cd3 0.272 0.706 0.226

Calculated values
Symmetry   P-1, No. 2
Energy relative to the elements   0.01 eV per atom